# CsDyInSe3, optimized geometry, DFT GGA-PBE
data_CsDyInSe3
_chemical_formula_sum 'Cs4 Dy4 In4 Se12'
_symmetry_space_group_name_H-M 'P n m a'
_symmetry_Int_Tables_number 62
_cell_length_a 16.602
_cell_length_b 4.125
_cell_length_c 12.098
_cell_angle_alpha 90.00
_cell_angle_beta 90.00
_cell_angle_gamma 90.00
loop_
_symmetry_equiv_pos_as_xyz
'x,y,z'
'-x,-y,-z'
'-x+1/2,-y,z+1/2'
'x+1/2,y,-z+1/2'
'x+1/2,-y+1/2,-z+1/2'
'-x+1/2,y+1/2,z+1/2'
'-x,y+1/2,-z'
'x,-y+1/2,z'
loop_
_atom_site_label
_atom_site_type_symbol
_atom_site_fract_x
_atom_site_fract_y
_atom_site_fract_z
_atom_site_occupancy
Cs1 Cs 0.232 0.250 0.064 1
Dy1 Dy 0.002 0.250 0.356 1
In1 In 0.024 0.250 0.902 1
Se1 Se 0.095 0.250 0.550 1
Se2 Se 0.096 0.750 0.244 1
Se3 Se 0.118 0.750 0.827 1
# Size of the total moment (μB/atom): 0.000
# E above lowest polymorph (kJ/mol of formula units): 0